(1)
Nd6Ni2I3N (GGA-PBE, optimized geometry); energy = -5.22 eV per atom; E_form (uncorrected) = -0.792 eV/atom
1.0
6.929 0.009 0.009
-3.455 6.006 0.009
-1.150 -1.992 7.955
Nd Ni I N
6 2 3 1
direct
0.940 0.631 0.819
0.753 0.753 0.184
0.060 0.369 0.181
0.631 0.940 0.819
0.247 0.247 0.816
0.369 0.060 0.181
0.334 0.666 0.000
0.666 0.334 0.000
0.170 0.830 0.500
0.830 0.170 0.500
0.500 0.500 0.500
0.000 0.000 0.000

=====

(2)
Nd6Os2I3N (GGA-PBE, optimized geometry); energy = -6.07 eV per atom; E_form (uncorrected) = -0.735 eV/atom
1.0
7.074 0.009 0.001
-3.527 6.132 0.001
-1.181 -2.045 8.033
Nd Os I N
6 2 3 1
direct
0.942 0.630 0.823
0.746 0.746 0.178
0.058 0.370 0.177
0.630 0.942 0.823
0.254 0.254 0.822
0.370 0.058 0.177
0.333 0.667 0.000
0.667 0.333 0.000
0.169 0.831 0.500
0.831 0.169 0.500
0.500 0.500 0.500
0.000 0.000 0.000

=====

(3)
Nd6P2I3N (GGA-PBE, optimized geometry); energy = -5.66 eV per atom; E_form (uncorrected) = -1.289 eV/atom
1.0
-0.952 -5.928 -3.772
5.972 0.919 3.710
-4.948 -1.693 6.129
Nd P I N
6 2 3 1
direct
0.940 0.633 0.821
0.752 0.752 0.181
0.060 0.367 0.179
0.633 0.940 0.821
0.248 0.248 0.819
0.367 0.060 0.179
0.334 0.666 0.000
0.666 0.334 0.000
0.171 0.829 0.500
0.829 0.171 0.500
0.500 0.500 0.500
0.000 0.000 0.000

=====

(4)
Nd4PI2N (GGA-PBE, optimized geometry); energy = -5.74 eV per atom; E_form (uncorrected) = -1.254 eV/atom
1.0
-3.416 -1.966 -0.745
3.677 -5.715 -1.777
-1.423 -0.519 7.897
Nd P I N
4 1 2 1
direct
0.500 0.202 0.175
0.500 0.798 0.825
0.000 0.241 0.822
0.000 0.759 0.178
0.500 0.500 0.000
0.500 0.000 0.500
0.000 0.500 0.500
0.000 0.000 0.000